VASP calculation (PBE) on an optimized crystal structure of BeCr4Au.

Output
- space-group type = F-43m, No. 216
- ΔE_f (eV per atom) = 0.42
- total magnetic moment (μB per formula unit) = 0.00

Unit cell a=4.757 b=4.757 c=4.757 alpha=60.00 beta=60.00 gamma=60.00
Element x y z (fractional)
Be: 0.000 0.000 0.000
Cr: 0.115 0.628 0.628
Cr: 0.628 0.115 0.628
Cr: 0.628 0.628 0.115
Cr: 0.628 0.628 0.628
Au: 0.250 0.250 0.250


VASP calculation (PBE) on an optimized crystal structure of BeCrAu2.

Output
- space-group type = P4/mmm, No. 123
- polymorph energy (0 for the lowest one) (meV/atom) = 85
- ΔE_f (eV per atom) = 0.14
- total magnetic moment (μB per formula unit) = 3.87

Unit cell a=4.151 b=4.151 c=3.550 alpha=90.00 beta=90.00 gamma=90.00
Element x y z (fractional)
Be: 0.000 0.000 0.000
Cr: 0.500 0.500 0.000
Au: 0.000 0.500 0.500
Au: 0.500 0.000 0.500


VASP calculation (PBE) on an optimized crystal structure of BeCrAu2.

Output
- space-group type = Immm, No. 71
- polymorph energy (0 for the lowest one) (meV/atom) = 61
- ΔE_f (eV per atom) = 0.11
- total magnetic moment (μB per formula unit) = 3.73

Unit cell a=4.686 b=4.686 c=4.686 alpha=133.24 beta=122.60 gamma=77.06
Element x y z (fractional)
Be: 0.000 0.000 0.000
Cr: 0.500 0.500 0.000
Au: 0.212 0.712 0.500
Au: 0.788 0.288 0.500


VASP calculation (PBE) on an optimized crystal structure of BeCrAu2.

Output
- space-group type = Cm, No. 8
- polymorph energy (0 for the lowest one) (meV/atom) = 65
- ΔE_f (eV per atom) = 0.12
- total magnetic moment (μB per formula unit) = 3.82

Unit cell a=4.979 b=4.979 c=4.358 alpha=114.08 beta=114.08 gamma=38.60
Element x y z (fractional)
Be: 0.000 0.000 0.000
Cr: 0.741 0.741 0.308
Au: 0.298 0.298 0.868
Au: 0.518 0.518 0.576